# PBE+U BaHoMo2O8, relaxed
# - Energy: -7.290 eV per atom
# - Size of the total moment: 1.0 Bohr magnetons per cell
data_BaHoMo2O8
_space_group_name_H-M_alt 'P -3 m 1'
_space_group_IT_number 164
_space_group_name_Hall '-P 3 2"'
_cell_length_a 5.9804
_cell_length_b 5.9804
_cell_length_c 7.5221
_cell_angle_alpha 90.00
_cell_angle_beta 90.00
_cell_angle_gamma 120.00
loop_
_atom_site_label
_atom_site_fract_x
_atom_site_fract_y
_atom_site_fract_z
Ba1 0.0000 0.0000 0.0000
Ho1 0.0000 0.0000 0.5000
Mo1 0.3333 0.6667 0.2313
O1 0.1641 0.3282 0.3058
O2 0.3333 0.6667 0.9940


# PBE+U Ba3Ho2MoO9, relaxed
# - Energy: -7.275 eV per atom
# - Size of the total moment: 0.0 Bohr magnetons per cell
data_Ba3Ho2MoO9
_space_group_name_H-M_alt 'C 1 2/c 1'
_space_group_IT_number 15
_space_group_name_Hall '-C 2yc'
_cell_length_a 10.555
_cell_length_b 6.041
_cell_length_c 14.882
_cell_angle_alpha 90.00
_cell_angle_beta 90.50
_cell_angle_gamma 90.00
loop_
_atom_site_label
_atom_site_fract_x
_atom_site_fract_y
_atom_site_fract_z
Ba1 0.000 0.001 0.250
Ba2 0.166 0.499 0.413
Ho1 0.167 0.498 0.668
Mo1 0.000 0.000 0.000
O1 0.000 0.488 0.250
O2 0.066 0.261 0.563
O3 0.089 0.198 0.084
O4 0.151 0.001 0.424
O5 0.232 0.202 0.736